A geometry-optimized Ca3Al2BiAu9 structure, computed with PBE-GGA. Values from VASP.

Values from the calculation:
As for the formation energy: -0.31 eV per atom. As for the final energy: -0.1262 Ha/atom. Its density is 9.39 Mg/m³.

Quantum ESPRESSO input file:
```
&SYSTEM
  ibrav = 0, nat = 15, ntyp = 4
/
ATOMIC_SPECIES
Bi 208.98 Bi.upf
Ca 40.08 Ca.upf
Au 196.97 Au.upf
Al 26.98 Al.upf
ATOMIC_POSITIONS crystal
Bi 0.0000 0.0000 0.5000
Ca 0.6667 0.3333 0.3501
Ca 0.0000 0.0000 0.0000
Ca 0.3333 0.6667 0.6499
Au 0.6460 0.8230 0.3054
Au 0.8230 0.1770 0.6946
Au 0.5000 0.5000 0.0000
Au 0.0000 0.5000 0.0000
Au 0.8230 0.6460 0.6946
Au 0.1770 0.3540 0.3054
Au 0.3540 0.1770 0.6946
Au 0.5000 0.0000 0.0000
Au 0.1770 0.8230 0.3054
Al 0.3333 0.6667 0.1340
Al 0.6667 0.3333 0.8660
CELL_PARAMETERS angstrom
-2.2536 -3.8340 -6.7215
2.7450 -4.1999 6.3073
-6.3134 -0.5104 2.4079
```